# WSe3 | the Alexandria database | GGA-PBE | relaxed
data_WSe3
_chemical_formula_sum 'W1 Se3'
_space_group_name_H-M_alt 'P m m m'
_space_group_IT_number 47
_space_group_name_Hall '-P 2 2'
_cell_length_a 2.6530
_cell_length_b 3.3083
_cell_length_c 10.3589
_cell_angle_alpha 90.00
_cell_angle_beta 90.00
_cell_angle_gamma 90.00
loop_
_atom_site_label
_atom_site_fract_x
_atom_site_fract_y
_atom_site_fract_z
W1 0.0000 0.0000 0.0000
Se1 0.0000 0.0000 0.5000
Se2 0.0000 0.5000 0.1893
# - Magnetic moment: 0.0 μB/cell
# - Total DFT energy (no corrections): -5.62 eV per atom
# - N(E_F): 2.916 states/eV/f.u.
# - Excess energy over the best structure of this formula in the dataset: 11.06 kcal/mol of atoms

---

# WSe | the Alexandria database | GGA-PBE | relaxed
data_WSe
_chemical_formula_sum 'W4 Se4'
_space_group_name_H-M_alt 'C 1 2/m 1'
_space_group_IT_number 12
_space_group_name_Hall '-C 2y'
_cell_length_a 5.7999
_cell_length_b 4.4282
_cell_length_c 7.4153
_cell_angle_alpha 90.00
_cell_angle_beta 101.07
_cell_angle_gamma 90.00
loop_
_atom_site_label
_atom_site_fract_x
_atom_site_fract_y
_atom_site_fract_z
W1 0.1743 0.0000 0.4172
Se1 0.2416 0.0000 0.7733
# - Magnetic moment: 0.0 μB/cell
# - Total DFT energy (no corrections): -8.19 eV per atom
# - N(E_F): 0.177 states/eV/f.u.
# - Excess energy over the best structure of this formula in the dataset: 4.58 kcal/mol of atoms